No. 1
The following is a DFT calculation (meta-GGA SCAN) of NaHfC2 at its PBEsol-relaxed geometry.

**Calculated total energy**: -20.703 eV/atom
**Symmetry**: I-42d
**Mass density**: 5.01 Mg/m³

POSCAR file:
```
NaHfC2
1.0
4.7816 0.0000 0.0000
0.0000 4.7816 0.0000
-2.3908 -2.3908 6.5322
Hf C Na
2 4 2
Direct
0.2500 0.7500 0.5000 Hf
0.0000 0.0000 0.0000 Hf
0.9917 0.3750 0.2500 C
0.6250 0.7417 0.7500 C
0.2583 0.8750 0.2500 C
0.1250 0.0083 0.7500 C
0.7500 0.2500 0.5000 Na
0.5000 0.5000 0.0000 Na
```

No. 2
The following is a DFT calculation (meta-GGA SCAN) of Cd2CuHg at its PBEsol-relaxed geometry.

**Calculated total energy**: -35.976 eV/atom
**Symmetry**: P4/mmm
**Mass density**: 10.99 Mg/m³

POSCAR file:
```
Cd2CuHg
1.0
-2.0527 1.9912 1.0678
-1.9733 -2.2826 0.4633
2.8578 -0.9834 7.3276
Cu Cd Hg
1 2 1
Direct
0.5000 0.5000 0.0000 Cu
0.0000 0.0000 0.2114 Cd
0.0000 0.0000 0.7886 Cd
0.5000 0.5000 0.5000 Hg
```

No. 3
The following is a DFT calculation (meta-GGA SCAN) of BaTaNO2 at its PBEsol-relaxed geometry.

**Formation energy (no corrections)**: 6.65 eV per formula unit
**Symmetry**: P4/mmm
**Mass density**: 6.60 Mg/m³

POSCAR file:
```
BaTaNO2
1.0
4.5899 0.0000 0.0000
0.0000 4.4674 0.0000
0.0000 0.0000 4.4674
N O Ta Ba
1 2 1 1
Direct
0.5000 0.0000 0.0000 N
0.0000 0.5000 0.0000 O
0.0000 0.0000 0.5000 O
0.5000 0.5000 0.5000 Ta
0.0000 0.0000 0.0000 Ba
```

No. 4
The following is a DFT calculation (meta-GGA SCAN) of Be3In at its PBEsol-relaxed geometry.

**Symmetry**: Pm-3m
**Mass density**: 2.51 Mg/m³
**Energy above the lowest structure with this stoichiometry**: 910 meV per atom

POSCAR file:
```
Be3In
1.0
-0.6694 -0.1366 -4.4945
-4.4453 -0.6642 0.6822
-0.6772 4.4952 -0.0358
In Be
1 3
Direct
0.0000 0.0000 0.0000 In
0.5000 0.0000 0.0000 Be
0.0000 0.0000 0.5000 Be
0.0000 0.5000 0.0000 Be
```

Q: Which of these has the lowest mass density?
A: Be3In